Run w
This record from Alexandria describes a relaxed CaSb2PtI crystal. The functional is GGA-PBE.

Values from the calculation:
Crystal system: tetragonal
Total magnetic moment: 0.000 μB/cell

Cell lengths 5.801, 5.801, 5.570 Å; angles 90.00, 90.00, 90.00 degrees
Element x y z (fractional)
I 0.000 0.000 0.500
Sb 0.000 0.500 0.000
Sb 0.500 0.000 0.000
Ca 0.000 0.000 0.000
Pt 0.500 0.500 0.500


Run x
This record from Alexandria describes a relaxed CaSb2PtI crystal. The functional is GGA-PBE.

Values from the calculation:
Crystal system: tetragonal
Total magnetic moment: 0.552 μB/cell

Cell lengths 5.274, 5.274, 5.728 Å; angles 90.00, 90.00, 90.00 degrees
Element x y z (fractional)
I 0.000 0.000 0.500
Sb 0.000 0.500 0.000
Sb 0.500 0.000 0.000
Ca 0.500 0.500 0.500
Pt 0.000 0.000 0.000


Which structure is most stable, and how do the rest compare? From most to least stable: run x, run w.


Run w
This record from Alexandria describes a relaxed CaTePtI2 crystal. The functional is GGA-PBE.

Values from the calculation:
Crystal system: tetragonal
Total magnetic moment: 2.046 μB/cell

Cell lengths 5.847, 5.847, 6.182 Å; angles 90.00, 90.00, 90.00 degrees
Element x y z (fractional)
I 0.000 0.500 0.000
I 0.500 0.000 0.000
Ca 0.000 0.000 0.000
Te 0.000 0.000 0.500
Pt 0.500 0.500 0.500


Run x
This record from Alexandria describes a relaxed CaTePtI2 crystal. The functional is GGA-PBE.

Values from the calculation:
Crystal system: tetragonal
Total magnetic moment: 0.000 μB/cell

Cell lengths 5.460, 5.460, 5.533 Å; angles 90.00, 90.00, 90.00 degrees
Element x y z (fractional)
I 0.000 0.500 0.000
I 0.500 0.000 0.000
Ca 0.500 0.500 0.500
Te 0.000 0.000 0.500
Pt 0.000 0.000 0.000


Which structure is most stable, and how do the rest compare? From most to least stable: run x, run w.


Run w
This record from Alexandria describes a relaxed CaTe2PtI crystal. The functional is GGA-PBE.

Values from the calculation:
Crystal system: tetragonal
Total magnetic moment: 0.000 μB/cell

Cell lengths 5.388, 5.388, 5.525 Å; angles 90.00, 90.00, 90.00 degrees
Element x y z (fractional)
I 0.000 0.000 0.500
Ca 0.500 0.500 0.500
Te 0.000 0.500 0.000
Te 0.500 0.000 0.000
Pt 0.000 0.000 0.000


Run x
This record from Alexandria describes a relaxed CaTe2PtI crystal. The functional is GGA-PBE.

Values from the calculation:
Crystal system: tetragonal
Total magnetic moment: 1.611 μB/cell

Cell lengths 5.860, 5.860, 5.726 Å; angles 90.00, 90.00, 90.00 degrees
Element x y z (fractional)
I 0.000 0.000 0.500
Ca 0.000 0.000 0.000
Te 0.000 0.500 0.000
Te 0.500 0.000 0.000
Pt 0.500 0.500 0.500


Which structure is most stable, and how do the rest compare? From most to least stable: run w, run x.


Run w
This record from Alexandria describes a relaxed Rb2CaI crystal. The functional is GGA-PBE.

Values from the calculation:
Crystal system: trigonal
Total magnetic moment: 0.000 μB/cell

Cell lengths 4.541, 4.541, 13.519 Å; angles 80.33, 80.33, 60.00 degrees
Element x y z (fractional)
I 0.500 0.500 0.500
Ca 0.000 0.000 0.000
Rb 0.104 0.104 0.688
Rb 0.896 0.896 0.312


Run x
This record from Alexandria describes a relaxed Rb2CaI crystal. The functional is GGA-PBE.

Values from the calculation:
Crystal system: cubic
Total magnetic moment: 0.000 μB/cell

Cell lengths 6.959, 6.959, 6.959 Å; angles 60.00, 60.00, 60.00 degrees
Element x y z (fractional)
I 0.500 0.500 0.500
Ca 0.000 0.000 0.000
Rb 0.250 0.250 0.250
Rb 0.750 0.750 0.750


Which structure is most stable, and how do the rest compare? From most to least stable: run w, run x.


Run w
This record from Alexandria describes a relaxed RbCa3I crystal. The functional is GGA-PBE.

Values from the calculation:
Crystal system: cubic
Total magnetic moment: 0.000 μB/cell

Cell lengths 6.391, 6.391, 6.391 Å; angles 90.00, 90.00, 90.00 degrees
Element x y z (fractional)
I 0.000 0.000 0.000
Ca 0.000 0.500 0.000
Ca 0.000 0.000 0.500
Ca 0.500 0.000 0.000
Rb 0.500 0.500 0.500


Run x
This record from Alexandria describes a relaxed RbCa3I crystal. The functional is GGA-PBE.

Values from the calculation:
Crystal system: cubic
Total magnetic moment: 0.000 μB/cell

Cell lengths 7.300, 7.300, 7.300 Å; angles 90.00, 90.00, 90.00 degrees
Element x y z (fractional)
I 0.500 0.500 0.500
Ca 0.000 0.500 0.000
Ca 0.000 0.000 0.500
Ca 0.500 0.000 0.000
Rb 0.000 0.000 0.000


Which structure is most stable, and how do the rest compare? From most to least stable: run w, run x.


Run w
This record from Alexandria describes a relaxed RbCa2I2 crystal. The functional is GGA-PBE.

Values from the calculation:
Crystal system: tetragonal
Total magnetic moment: 0.000 μB/cell

Cell lengths 5.753, 5.753, 8.162 Å; angles 69.36, 69.36, 90.00 degrees
Element x y z (fractional)
I 0.750 0.250 0.500
I 0.250 0.750 0.500
Ca 0.370 0.370 0.261
Ca 0.630 0.630 0.739
Rb 0.000 0.000 0.000


Run x
This record from Alexandria describes a relaxed RbCa2I2 crystal. The functional is GGA-PBE.

Values from the calculation:
Crystal system: tetragonal
Total magnetic moment: 0.001 μB/cell

Cell lengths 11.550, 11.550, 3.869 Å; angles 90.00, 90.00, 90.00 degrees
Element x y z (fractional)
I 0.118 0.618 0.500
I 0.618 0.882 0.500
I 0.882 0.382 0.500
I 0.382 0.118 0.500
Ca 0.381 0.881 0.000
Ca 0.881 0.619 0.000
Ca 0.619 0.119 0.000
Ca 0.119 0.381 0.000
Rb 0.000 0.000 0.000
Rb 0.500 0.500 0.000


Which structure is most stable, and how do the rest compare? From most to least stable: run w, run x.


Run w
This record from Alexandria describes a relaxed RbCaSbI2 crystal. The functional is GGA-PBE.

Values from the calculation:
Crystal system: tetragonal
Total magnetic moment: 1.022 μB/cell

Cell lengths 6.395, 6.395, 6.302 Å; angles 90.00, 90.00, 90.00 degrees
Element x y z (fractional)
I 0.000 0.500 0.000
I 0.500 0.000 0.000
Sb 0.000 0.000 0.500
Ca 0.500 0.500 0.500
Rb 0.000 0.000 0.000


Run x
This record from Alexandria describes a relaxed RbCaSbI2 crystal. The functional is GGA-PBE.

Values from the calculation:
Crystal system: tetragonal
Total magnetic moment: 2.002 μB/cell

Cell lengths 6.246, 6.246, 6.278 Å; angles 90.00, 90.00, 90.00 degrees
Element x y z (fractional)
I 0.000 0.500 0.000
I 0.500 0.000 0.000
Sb 0.000 0.000 0.500
Ca 0.000 0.000 0.000
Rb 0.500 0.500 0.500


Which structure is most stable, and how do the rest compare? From most to least stable: run x, run w.


Run w
This record from Alexandria describes a relaxed Rb2SrCaI6 crystal. The functional is GGA-PBE.

Values from the calculation:
Crystal system: monoclinic
Total magnetic moment: 0.000 μB/cell

Cell lengths 8.534, 8.980, 12.270 Å; angles 90.00, 90.24, 90.00 degrees
Element x y z (fractional)
Rb 0.029 0.922 0.249
Rb 0.529 0.578 0.749
Rb 0.971 0.078 0.751
Rb 0.471 0.422 0.251
Sr 0.500 0.000 0.000
Sr 0.000 0.500 0.500
Ca 0.500 0.000 0.500
Ca 0.000 0.500 0.000
I 0.300 0.694 0.053
I 0.800 0.806 0.553
I 0.700 0.306 0.947
I 0.200 0.194 0.447
I 0.311 0.705 0.446
I 0.811 0.795 0.946
I 0.689 0.295 0.554
I 0.189 0.205 0.054
I 0.892 0.527 0.244
I 0.392 0.973 0.744
I 0.108 0.473 0.756
I 0.608 0.027 0.256


Run x
This record from Alexandria describes a relaxed Rb2SrCaI6 crystal. The functional is GGA-PBE.

Values from the calculation:
Crystal system: cubic
Total magnetic moment: 0.000 μB/cell

Cell lengths 8.938, 8.938, 8.938 Å; angles 60.00, 60.00, 90.00 degrees
Element x y z (fractional)
I 0.255 0.255 0.490
I 0.745 0.745 0.510
I 0.255 0.255 0.000
I 0.745 0.745 0.000
I 0.745 0.255 0.000
I 0.255 0.745 0.000
Sr 0.000 0.000 0.000
Ca 0.500 0.500 0.000
Rb 0.750 0.250 0.500
Rb 0.250 0.750 0.500


Which structure is most stable, and how do the rest compare? From most to least stable: run w, run x.


Run w
This record from Alexandria describes a relaxed Rb2CaTcI crystal. The functional is GGA-PBE.

Values from the calculation:
Crystal system: tetragonal
Total magnetic moment: 2.489 μB/cell

Cell lengths 7.343, 5.152, 7.343 Å; angles 90.00, 90.00, 90.00 degrees
Element x y z (fractional)
I 0.500 0.500 0.500
Ca 0.000 0.000 0.000
Tc 0.000 0.500 0.000
Rb 0.000 0.000 0.500
Rb 0.500 0.000 0.000


Run x
This record from Alexandria describes a relaxed Rb2CaTcI crystal. The functional is GGA-PBE.

Values from the calculation:
Crystal system: tetragonal
Total magnetic moment: 3.834 μB/cell

Cell lengths 6.777, 6.160, 6.777 Å; angles 90.00, 90.00, 90.00 degrees
Element x y z (fractional)
I 0.000 0.000 0.000
Ca 0.000 0.500 0.000
Tc 0.500 0.500 0.500
Rb 0.000 0.000 0.500
Rb 0.500 0.000 0.000


Which structure is most stable, and how do the rest compare? From most to least stable: run w, run x.


Run w
This record from Alexandria describes a relaxed RbCaTe2I crystal. The functional is GGA-PBE.

Values from the calculation:
Crystal system: tetragonal
Total magnetic moment: 0.953 μB/cell

Cell lengths 5.987, 5.987, 6.327 Å; angles 90.00, 90.00, 90.00 degrees
Element x y z (fractional)
I 0.000 0.000 0.500
Ca 0.000 0.000 0.000
Te 0.000 0.500 0.000
Te 0.500 0.000 0.000
Rb 0.500 0.500 0.500


Run x
This record from Alexandria describes a relaxed RbCaTe2I crystal. The functional is GGA-PBE.

Values from the calculation:
Crystal system: tetragonal
Total magnetic moment: 0.000 μB/cell

Cell lengths 6.105, 6.105, 6.449 Å; angles 90.00, 90.00, 90.00 degrees
Element x y z (fractional)
I 0.000 0.000 0.500
Ca 0.500 0.500 0.500
Te 0.000 0.500 0.000
Te 0.500 0.000 0.000
Rb 0.000 0.000 0.000


Which structure is most stable, and how do the rest compare? From most to least stable: run w, run x.


Run w
This record from Alexandria describes a relaxed Ca2ReI crystal. The functional is GGA-PBE.

Values from the calculation:
Crystal system: cubic
Total magnetic moment: 2.002 μB/cell

Cell lengths 5.309, 5.309, 5.309 Å; angles 60.00, 60.00, 60.00 degrees
Element x y z (fractional)
I 0.000 0.000 0.000
Re 0.500 0.500 0.500
Ca 0.250 0.250 0.250
Ca 0.750 0.750 0.750


Run x
This record from Alexandria describes a relaxed Ca2ReI crystal. The functional is GGA-PBE.

Values from the calculation:
Crystal system: tetragonal
Total magnetic moment: 4.000 μB/cell

Cell lengths 8.124, 8.124, 6.835 Å; angles 53.54, 53.54, 90.00 degrees
Element x y z (fractional)
I 0.500 0.500 0.000
I 0.250 0.750 0.500
Re 0.000 0.000 0.000
Re 0.750 0.250 0.500
Ca 0.650 0.125 0.250
Ca 0.100 0.625 0.250
Ca 0.375 0.350 0.750
Ca 0.875 0.900 0.750


Which structure is most stable, and how do the rest compare? From most to least stable: run w, run x.


Run w
This record from Alexandria describes a relaxed Ca3ReI crystal. The functional is GGA-PBE.

Values from the calculation:
Crystal system: cubic
Total magnetic moment: 1.854 μB/cell

Cell lengths 5.714, 5.714, 5.714 Å; angles 90.00, 90.00, 90.00 degrees
Element x y z (fractional)
I 0.000 0.000 0.000
Re 0.500 0.500 0.500
Ca 0.000 0.500 0.000
Ca 0.000 0.000 0.500
Ca 0.500 0.000 0.000


Run x
This record from Alexandria describes a relaxed Ca3ReI crystal. The functional is GGA-PBE.

Values from the calculation:
Crystal system: cubic
Total magnetic moment: 0.270 μB/cell

Cell lengths 5.548, 5.548, 5.548 Å; angles 90.00, 90.00, 90.00 degrees
Element x y z (fractional)
I 0.500 0.500 0.500
Re 0.000 0.000 0.000
Ca 0.000 0.500 0.000
Ca 0.000 0.000 0.500
Ca 0.500 0.000 0.000


Which structure is most stable, and how do the rest compare? From most to least stable: run x, run w.